1.
VASP calculation (GGA-PBEsol) on a relaxed BaSm2Mo4O16 crystal.

```
BaSm2Mo4O16
1.0
2.624 -6.309 0.000
2.624 6.309 0.000
-0.590 0.000 19.367
Ba Sm Mo O
2 4 8 32
Direct
0.034 0.966 0.750 Ba
0.966 0.034 0.250 Ba
0.145 0.850 0.533 Sm
0.150 0.855 0.967 Sm
0.850 0.145 0.033 Sm
0.855 0.150 0.467 Sm
0.250 0.738 0.149 Mo
0.262 0.750 0.351 Mo
0.429 0.548 0.908 Mo
0.452 0.571 0.592 Mo
0.548 0.429 0.408 Mo
0.571 0.452 0.092 Mo
0.738 0.250 0.649 Mo
0.750 0.262 0.851 Mo
0.000 0.270 0.827 O
0.000 0.730 0.173 O
0.076 0.597 0.432 O
0.088 0.389 0.136 O
0.094 0.492 0.288 O
0.175 0.516 0.954 O
0.226 0.320 0.395 O
0.231 0.265 0.536 O
0.265 0.231 0.036 O
0.270 0.000 0.327 O
0.288 0.456 0.669 O
0.320 0.226 0.895 O
0.389 0.088 0.636 O
0.403 0.924 0.068 O
0.456 0.288 0.169 O
0.484 0.825 0.546 O
0.492 0.094 0.788 O
0.508 0.906 0.212 O
0.516 0.175 0.454 O
0.544 0.712 0.831 O
0.597 0.076 0.932 O
0.611 0.912 0.364 O
0.680 0.774 0.105 O
0.712 0.544 0.331 O
0.730 0.000 0.673 O
0.735 0.769 0.964 O
0.769 0.735 0.464 O
0.774 0.680 0.605 O
0.825 0.484 0.046 O
0.906 0.508 0.712 O
0.912 0.611 0.864 O
0.924 0.403 0.568 O
```

Summary:
- energy (eV per atom) = -8.774
- DOS(E_F) (states/eV/f.u.) = 0.0
- symmetry = C2/c, No. 15
- formation energy from raw total energies (eV per atom) = -2.54



2.
VASP calculation (GGA-PBEsol) on a relaxed Sr2SiAuI crystal.

```
Sr2SiAuI
1.0
6.062 0.000 0.000
0.000 6.062 0.000
0.000 0.000 5.175
Sr Si Au I
2 1 1 1
Direct
0.000 0.500 0.000 Sr
0.500 0.000 0.000 Sr
0.000 0.000 0.500 Si
0.500 0.500 0.500 Au
0.000 0.000 0.000 I
```

Summary:
- energy (eV per atom) = -2.732
- DOS(E_F) (states/eV/f.u.) = 2.6
- symmetry = P4/mmm, No. 123
- formation energy from raw total energies (eV per atom) = 0.29



3.
VASP calculation (GGA-PBEsol) on a relaxed Zr2ScAl crystal.

```
Zr2ScAl
1.0
3.122 0.000 0.000
0.000 4.064 0.000
0.000 0.000 6.461
Zr Sc Al
2 1 1
Direct
0.000 0.000 0.000 Zr
0.500 0.500 0.256 Zr
0.500 0.500 0.731 Sc
0.000 0.000 0.493 Al
```

Summary:
- energy (eV per atom) = -7.421
- DOS(E_F) (states/eV/f.u.) = 4.7
- symmetry = Pmm2, No. 25
- formation energy (meV per atom) = -202



Q: Number 3 is which compound?
A: Zr2ScAl



Q: Which formula does entry 2 have?
A: Sr2SiAuI



Q: Which formula does entry 1 have?
A: BaSm2Mo4O16